1.
DFT (GGA-PBE) results for an optimized crystal structure of MnRuAuCS.

Space-group type   Cm (8)
E above lowest polymorph   110 meV per atom
Energy relative to the elements, uncorrected   1.22 eV per formula unit

Cell lengths 5.6098, 5.6098, 5.3694 Å; angles 117.80, 117.80, 29.95 degrees
Closest atoms and distances in Å follow each position.
Fractional coordinates of all 5 atoms:
Mn (0.0000, 0.0000, 0.0000)  2 C 1.97
Ru (0.9968, 0.9968, 0.4877)  2 C 1.96
Au (0.2772, 0.2772, 0.5443)  3 Mn 2.87-3.01, 2 Au 2.90, 3 Ru 2.90-2.93, 2 C 3.14
C (0.4839, 0.4839, 0.2301)  2 Ru 1.96, 2 Mn 1.97
S (0.6356, 0.6356, 0.9017)  2 Mn 2.30, 2 Ru 2.47

=====

2.
DFT (GGA-PBE) results for an optimized crystal structure of LiHo2Hg6.

Space-group type   P4_2/mnm (136)
E above lowest polymorph   0 meV per atom
Calculated formation energy   -0.34 eV/atom

Cell lengths 9.1728, 9.1728, 4.9445 Å; angles 90.00, 90.00, 90.00 degrees
Closest atoms and distances in Å follow each position.
Fractional coordinates of all 18 atoms:
Li (0.0000, 0.0000, 0.0000)  8 Hg 2.96-3.04
Li (0.5000, 0.5000, 0.5000)  8 Hg 2.96-3.04
Ho (0.2062, 0.2062, 0.5000)  10 Hg 3.06-3.29
Ho (0.2938, 0.7062, 0.0000)  10 Hg 3.06-3.29
Ho (0.7062, 0.2938, 0.0000)  10 Hg 3.06-3.29
Ho (0.7938, 0.7938, 0.5000)  10 Hg 3.06-3.29
Hg (0.0382, 0.3296, 0.0000)  1 Li 3.04, 3 Ho 3.06-3.13, 6 Hg 3.11-3.35
Hg (0.1261, 0.8739, 0.5000)  2 Li 2.96, 3 Hg 3.11-3.27, 4 Ho 3.14-3.29
Hg (0.1704, 0.5382, 0.5000)  1 Li 3.04, 3 Ho 3.06-3.13, 6 Hg 3.11-3.35
Hg (0.3296, 0.0382, 0.0000)  1 Li 3.04, 3 Ho 3.06-3.13, 6 Hg 3.11-3.35
Hg (0.3739, 0.3739, 0.0000)  2 Li 2.96, 3 Hg 3.11-3.27, 4 Ho 3.14-3.29
Hg (0.4618, 0.8296, 0.5000)  1 Li 3.04, 3 Ho 3.06-3.13, 6 Hg 3.11-3.35
Hg (0.5382, 0.1704, 0.5000)  1 Li 3.04, 3 Ho 3.06-3.13, 6 Hg 3.11-3.35
Hg (0.6261, 0.6261, 0.0000)  2 Li 2.96, 3 Hg 3.11-3.27, 4 Ho 3.14-3.29
Hg (0.6704, 0.9618, 0.0000)  1 Li 3.04, 3 Ho 3.06-3.13, 6 Hg 3.11-3.35
Hg (0.8296, 0.4618, 0.5000)  1 Li 3.04, 3 Ho 3.06-3.13, 6 Hg 3.11-3.35
Hg (0.8739, 0.1261, 0.5000)  2 Li 2.96, 3 Hg 3.11-3.27, 4 Ho 3.14-3.29
Hg (0.9618, 0.6704, 0.0000)  1 Li 3.04, 3 Ho 3.06-3.13, 6 Hg 3.11-3.35

=====

3.
DFT (GGA-PBE) results for an optimized crystal structure of GaTc2BiAs.

Space-group type   P4/mmm (123)
Calculated formation energy   1.92 eV/atom

Cell lengths 5.1665, 5.1665, 5.2926 Å; angles 90.00, 90.00, 90.00 degrees
Closest atoms and distances in Å follow each position.
Fractional coordinates of all 5 atoms:
Ga (0.0000, 0.0000, 0.0000)  2 Bi 2.65
Tc (0.0000, 0.5000, 0.5000)  2 Bi 2.58
Tc (0.5000, 0.0000, 0.5000)  2 Bi 2.58
Bi (0.0000, 0.0000, 0.5000)  4 Tc 2.58, 2 Ga 2.65
As (0.5000, 0.5000, 0.0000)  4 Ga 3.65, 8 Tc 3.70

=====

4.
DFT (GGA-PBE) results for an optimized crystal structure of LiInS2.

Space-group type   Pmc2_1 (26)
Energy relative to the elements, uncorrected   -3.75 eV per formula unit

Cell lengths 4.0047, 7.0842, 6.5807 Å; angles 90.00, 90.00, 90.00 degrees
Closest atoms and distances in Å follow each position.
Fractional coordinates of all 8 atoms:
Li (0.0000, 0.1671, 0.0000)  4 S 2.44-2.47
Li (0.0000, 0.8329, 0.5000)  4 S 2.44-2.47
In (0.5000, 0.3374, 0.4989)  4 S 2.49-2.50
In (0.5000, 0.6626, 0.9989)  4 S 2.49-2.50
S (0.0000, 0.1620, 0.6258)  2 Li 2.46-2.47, 2 In 2.50
S (0.0000, 0.8380, 0.1258)  2 Li 2.46-2.47, 2 In 2.50
S (0.5000, 0.3298, 0.1193)  2 Li 2.44, 2 In 2.49-2.50
S (0.5000, 0.6702, 0.6193)  2 Li 2.44, 2 In 2.49-2.50

=====

5.
DFT (GGA-PBE) results for an optimized crystal structure of K2LaMo.

Space-group type   Pmmm (47)
E above lowest polymorph   369 meV per atom
Calculated formation energy   1.08 eV/atom

Cell lengths 3.8095, 5.3014, 6.8000 Å; angles 90.00, 90.00, 90.00 degrees
Closest atoms and distances in Å follow each position.
Fractional coordinates of all 4 atoms:
K (0.0000, 0.0000, 0.0000)  4 K 3.26
K (0.5000, 0.5000, 0.0000)  4 K 3.26
La (0.0000, 0.5000, 0.5000)  4 Mo 3.26
Mo (0.5000, 0.0000, 0.5000)  4 La 3.26

=====

6.
DFT (GGA-PBE) results for an optimized crystal structure of Np2MnC.

Space-group type   R-3m (166)
Calculated formation energy   0.43 eV/atom

Cell lengths 7.9339, 7.9339, 7.9339 Å; angles 22.28, 22.28, 22.28 degrees
Closest atoms and distances in Å follow each position.
Fractional coordinates of all 4 atoms:
Np (0.1001, 0.1001, 0.1001)  1 Mn 2.32, 3 C 2.35
Np (0.8999, 0.8999, 0.8999)  1 Mn 2.32, 3 C 2.35
Mn (0.0000, 0.0000, 0.0000)  2 Np 2.32
C (0.5000, 0.5000, 0.5000)  6 Np 2.35

=====

7.
DFT (GGA-PBE) results for an optimized crystal structure of Li8AlCu2.

Space-group type   C2/m (12)
E above lowest polymorph   0 meV per atom
Calculated formation energy   -0.04 eV/atom

Cell lengths 6.9293, 6.9293, 4.3184 Å; angles 106.32, 106.32, 104.46 degrees
Closest atoms and distances in Å follow each position.
Fractional coordinates of all 11 atoms:
Li (0.0403, 0.3495, 0.6864)  5 Li 2.58-2.81, 1 Cu 2.83, 1 Al 2.86
Li (0.2066, 0.2066, 0.2034)  2 Cu 2.60, 4 Li 2.72-2.77
Li (0.2404, 0.7596, 0.0000)  6 Li 2.58-2.81, 2 Cu 2.62, 1 Al 2.84
Li (0.3495, 0.0403, 0.6864)  5 Li 2.58-2.81, 1 Cu 2.83, 1 Al 2.86
Li (0.6505, 0.9597, 0.3136)  5 Li 2.58-2.81, 1 Cu 2.83, 1 Al 2.86
Li (0.7596, 0.2404, 0.0000)  6 Li 2.58-2.81, 2 Cu 2.62, 1 Al 2.84
Li (0.7934, 0.7934, 0.7966)  2 Cu 2.60, 4 Li 2.72-2.77
Li (0.9597, 0.6505, 0.3136)  5 Li 2.58-2.81, 1 Cu 2.83, 1 Al 2.86
Al (0.5000, 0.5000, 0.0000)  4 Cu 2.55, 2 Li 2.84
Cu (0.3754, 0.6246, 0.5000)  2 Al 2.55, 6 Li 2.60-2.83, 1 Cu 2.73
Cu (0.6246, 0.3754, 0.5000)  2 Al 2.55, 6 Li 2.60-2.83, 1 Cu 2.73

=====

8.
DFT (GGA-PBE) results for an optimized crystal structure of NaAgP3.

Space-group type   Pm-3m (221)
E above lowest polymorph   618 meV per atom
Calculated formation energy   1.47 eV/atom

Cell lengths 4.8446, 4.8446, 4.8446 Å; angles 90.00, 90.00, 90.00 degrees
Closest atoms and distances in Å follow each position.
Fractional coordinates of all 5 atoms:
Na (0.0000, 0.0000, 0.0000)  6 P 2.42
Ag (0.5000, 0.5000, 0.5000)  12 P 3.43
P (0.0000, 0.0000, 0.5000)  2 Na 2.42
P (0.0000, 0.5000, 0.0000)  2 Na 2.42
P (0.5000, 0.0000, 0.0000)  2 Na 2.42

=====

What did the third record say?
DFT (GGA-PBE) results for an optimized crystal structure of GaTc2BiAs.

Space-group type   P4/mmm (123)
Calculated formation energy   1.92 eV/atom

Cell lengths 5.1665, 5.1665, 5.2926 Å; angles 90.00, 90.00, 90.00 degrees
Closest atoms and distances in Å follow each position.
Fractional coordinates of all 5 atoms:
Ga (0.0000, 0.0000, 0.0000)  2 Bi 2.65
Tc (0.0000, 0.5000, 0.5000)  2 Bi 2.58
Tc (0.5000, 0.0000, 0.5000)  2 Bi 2.58
Bi (0.0000, 0.0000, 0.5000)  4 Tc 2.58, 2 Ga 2.65
As (0.5000, 0.5000, 0.0000)  4 Ga 3.65, 8 Tc 3.70